[1]
Ca12Sm5Th3 after structural relaxation, computed with PBE.

Values from the calculation:
DFT total energy   -2.343 eV per atom

Unit cell a=19.959 b=19.959 c=19.959 alpha=90.00 beta=90.00 gamma=90.00
Space group Ia-3d (No. 230)
One atom of each set of equivalent atoms:
1 Ca 0.006 0.079 0.650
2 Sm 0.000 0.000 0.000
3 Sm 0.000 0.250 0.375
4 Th 0.000 0.250 0.125

[2]
CaSmTh after structural relaxation, computed with PBE.

Values from the calculation:
Excess energy over the best structure of this formula in the dataset   93.6 meV per atom

Unit cell a=3.6073 b=3.6073 c=56.8423 alpha=90.00 beta=90.00 gamma=120.00
Space group R-3m (No. 166, hexagonal axes)
One atom of each set of equivalent atoms:
1 Ca 0.0000 0.0000 0.1949
2 Sm 0.0000 0.0000 0.2562
3 Th 0.0000 0.0000 0.3593

[3]
CaSmTh after structural relaxation, computed with PBE.

Values from the calculation:
Excess energy over the best structure of this formula in the dataset   69.0 meV per atom

Unit cell a=3.592 b=3.592 c=16.510 alpha=90.00 beta=90.00 gamma=90.00
Space group I4mm (No. 107)
One atom of each set of equivalent atoms:
1 Ca 0.000 0.000 0.000
2 Sm 0.000 0.000 0.680
3 Th 0.000 0.000 0.327

[4]
CaSm4Th after structural relaxation, computed with PBE.

Values from the calculation:
DFT total energy   -4.659 eV per atom

Unit cell a=3.626 b=6.323 c=9.689 alpha=77.83 beta=79.47 gamma=73.68
Space group P-1 (No. 2)
One atom of each set of equivalent atoms:
1 Ca 0.000 0.000 0.000
2 Sm 0.332 0.989 0.344
3 Sm 0.336 0.509 0.819
4 Th 0.000 0.500 0.500

[5]
CaSm3Th after structural relaxation, computed with PBE.

Values from the calculation:
DFT total energy   -4.353 eV per atom

Unit cell a=6.802 b=18.150 c=6.265 alpha=90.00 beta=90.00 gamma=90.00
Space group Cmcm (No. 63)
One atom of each set of equivalent atoms:
1 Ca 0.000 0.186 0.250
2 Sm 0.000 0.000 0.000
3 Sm 0.234 0.367 0.250
4 Th 0.000 0.459 0.750

[6]
CaSmTh after structural relaxation, computed with PBE.

Values from the calculation:
Excess energy over the best structure of this formula in the dataset   0.0 meV per atom

Unit cell a=3.655 b=3.655 c=15.929 alpha=90.00 beta=90.00 gamma=90.00
Space group P4/nmm (No. 129, origin choice 2)
One atom of each set of equivalent atoms:
1 Ca 0.250 0.250 0.093
2 Sm 0.250 0.250 0.729
3 Th 0.250 0.250 0.425

[7]
Ca2Sm2Th after structural relaxation, computed with PBE.

Values from the calculation:
DFT total energy   -4.126 eV per atom

Unit cell a=6.379 b=3.682 c=15.391 alpha=90.00 beta=90.10 gamma=90.00
Space group C2/m (No. 12)
One atom of each set of equivalent atoms:
1 Ca 0.166 0.000 0.392
2 Sm 0.166 0.000 0.817
3 Th 0.000 0.500 0.000

[8]
CaSmTh after structural relaxation, computed with PBE.

Values from the calculation:
Excess energy over the best structure of this formula in the dataset   59.9 meV per atom

Unit cell a=3.6483 b=3.6483 c=9.1473 alpha=90.00 beta=90.00 gamma=120.00
Space group P3m1 (No. 156)
One atom of each set of equivalent atoms:
1 Ca 0.0000 0.0000 0.0000
2 Sm 0.3333 0.6667 0.6460
3 Th 0.6667 0.3333 0.3379

[9]
CaSmTh2 after structural relaxation, computed with PBE.

Values from the calculation:
Excess energy over the best structure of this formula in the dataset   0.0 meV per atom

Unit cell a=5.033 b=5.033 c=5.313 alpha=90.00 beta=90.00 gamma=90.00
Space group P4/mmm (No. 123)
One atom of each set of equivalent atoms:
1 Ca 0.000 0.000 0.000
2 Sm 0.500 0.500 0.000
3 Th 0.000 0.500 0.500

[10]
CaSm14Th after structural relaxation, computed with PBE.

Values from the calculation:
DFT total energy   -4.686 eV per atom

Unit cell a=7.272 b=7.272 c=10.277 alpha=90.00 beta=90.00 gamma=90.00
Space group P4/mmm (No. 123)
One atom of each set of equivalent atoms:
1 Ca 0.000 0.000 0.000
2 Sm 0.000 0.000 0.500
3 Sm 0.000 0.500 0.000
4 Sm 0.000 0.500 0.500
5 Sm 0.256 0.256 0.251
6 Sm 0.500 0.500 0.500
7 Th 0.500 0.500 0.000

[11]
CaSmTh2 after structural relaxation, computed with PBE.

Values from the calculation:
Excess energy over the best structure of this formula in the dataset   64.8 meV per atom

Unit cell a=3.5225 b=3.5225 c=38.8484 alpha=90.00 beta=90.00 gamma=120.00
Space group R-3m (No. 166, hexagonal axes)
One atom of each set of equivalent atoms:
1 Ca 0.0000 0.0000 0.0000
2 Sm 0.0000 0.0000 0.5000
3 Th 0.0000 0.0000 0.0895

[12]
CaSmTmTh after structural relaxation, computed with PBE.

Values from the calculation:
DFT total energy   -4.425 eV per atom

Unit cell a=8.132 b=8.132 c=8.132 alpha=90.00 beta=90.00 gamma=90.00
Space group F-43m (No. 216)
One atom of each set of equivalent atoms:
1 Ca 0.000 0.000 0.000
2 Sm 0.250 0.250 0.750
3 Tm 0.250 0.250 0.250
4 Th 0.000 0.000 0.500

[13]
CaSm6Tl5 after structural relaxation, computed with PBE.

Values from the calculation:
DFT total energy   -3.703 eV per atom

Unit cell a=6.510 b=11.369 c=10.417 alpha=90.00 beta=102.10 gamma=90.00
Space group C2/m (No. 12)
One atom of each set of equivalent atoms:
1 Ca 0.000 0.000 0.000
2 Sm 0.218 0.500 0.245
3 Sm 0.231 0.321 0.735
4 Tl 0.000 0.148 0.500
5 Tl 0.000 0.320 0.000
6 Tl 0.000 0.500 0.500

[14]
Ca2SmTl after structural relaxation, computed with PBE.

Values from the calculation:
Excess energy over the best structure of this formula in the dataset   88.7 meV per atom

Unit cell a=4.190 b=4.190 c=7.503 alpha=90.00 beta=90.00 gamma=90.00
Space group P4/mmm (No. 123)
One atom of each set of equivalent atoms:
1 Ca 0.000 0.000 0.230
2 Sm 0.500 0.500 0.500
3 Tl 0.500 0.500 0.000

[15]
Ca2SmTl9 after structural relaxation, computed with PBE.

Values from the calculation:
DFT total energy   -2.752 eV per atom

Unit cell a=4.838 b=4.838 c=14.539 alpha=90.00 beta=90.00 gamma=90.00
Space group P4/mmm (No. 123)
One atom of each set of equivalent atoms:
1 Ca 0.000 0.000 0.169
2 Sm 0.000 0.000 0.500
3 Tl 0.000 0.500 0.000
4 Tl 0.000 0.500 0.334
5 Tl 0.500 0.500 0.167
6 Tl 0.500 0.500 0.500

[16]
Ca5SmTl6 after structural relaxation, computed with PBE.

Values from the calculation:
DFT total energy   -2.842 eV per atom

Unit cell a=17.262 b=7.828 c=5.472 alpha=90.00 beta=108.17 gamma=90.00
Space group C2/m (No. 12)
One atom of each set of equivalent atoms:
1 Ca 0.000 0.000 0.000
2 Ca 0.167 0.000 0.666
3 Ca 0.170 0.500 0.669
4 Sm 0.000 0.500 0.000
5 Tl 0.000 0.251 0.500
6 Tl 0.165 0.250 0.165

[17]
CaSm2Tl4 after structural relaxation, computed with PBE.

Values from the calculation:
DFT total energy   -3.226 eV per atom

Unit cell a=5.329 b=5.329 c=15.265 alpha=90.00 beta=90.00 gamma=90.00
Space group I4/mmm (No. 139)
One atom of each set of equivalent atoms:
1 Ca 0.000 0.000 0.000
2 Sm 0.000 0.000 0.251
3 Tl 0.000 0.500 0.116

[18]
CaSm2Tl3 after structural relaxation, computed with PBE.

Values from the calculation:
DFT total energy   -3.485 eV per atom

Unit cell a=3.826 b=3.826 c=11.885 alpha=90.00 beta=90.00 gamma=90.00
Space group P4/mmm (No. 123)
One atom of each set of equivalent atoms:
1 Ca 0.000 0.000 0.000
2 Sm 0.000 0.000 0.331
3 Tl 0.500 0.500 0.165
4 Tl 0.500 0.500 0.500

[19]
Ca2Sm3Tl4 after structural relaxation, computed with PBE.

Values from the calculation:
DFT total energy   -3.296 eV per atom

Unit cell a=7.421 b=16.752 c=9.389 alpha=90.00 beta=90.00 gamma=90.00
Space group Cmce (No. 64)
One atom of each set of equivalent atoms:
1 Ca 0.000 0.110 0.073
2 Sm 0.000 0.000 0.500
3 Sm 0.250 0.215 0.750
4 Tl 0.000 0.189 0.465
5 Tl 0.250 0.029 0.750

[20]
CaSm5Tl4 after structural relaxation, computed with PBE.

Values from the calculation:
Excess energy over the best structure of this formula in the dataset   0.0 meV per atom

Unit cell a=3.718 b=3.718 c=22.205 alpha=90.00 beta=90.00 gamma=90.00
Space group P4/mmm (No. 123)
One atom of each set of equivalent atoms:
1 Ca 0.000 0.000 0.000
2 Sm 0.500 0.500 0.127
3 Sm 0.500 0.500 0.312
4 Sm 0.500 0.500 0.500
5 Tl 0.000 0.000 0.217
6 Tl 0.000 0.000 0.406